# InOsPt | Alexandria via LeMat-Bulk | GGA-PBE | optimized geometry
# Energy of formation = 0.09 eV per atom
# Polymorph energy (0 for the lowest one) = 124 meV/atom
# Volume = 206.05 Å³/cell
data_InOsPt
_symmetry_space_group_name_H-M 'P 1'
_symmetry_Int_Tables_number 1
_cell_length_a 7.845
_cell_length_b 2.935
_cell_length_c 9.007
_cell_angle_alpha 90.00
_cell_angle_beta 96.47
_cell_angle_gamma 90.00
loop_
_symmetry_equiv_pos_as_xyz
'x,y,z'
loop_
_atom_site_label
_atom_site_type_symbol
_atom_site_fract_x
_atom_site_fract_y
_atom_site_fract_z
Pt1 Pt 0.265 0.500 0.536
Pt2 Pt 0.616 0.500 0.026
Pt3 Pt 0.265 0.000 0.036
Pt4 Pt 0.616 0.000 0.526
Os1 Os 0.902 0.500 0.500
Os2 Os 0.791 0.500 0.767
Os3 Os 0.791 0.000 0.267
Os4 Os 0.902 0.000 0.000
In1 In 0.091 0.000 0.745
In2 In 0.091 0.500 0.245
In3 In 0.470 0.000 0.784
In4 In 0.470 0.500 0.284

=====

# TaZnIn2 | Alexandria via LeMat-Bulk | GGA-PBE | optimized geometry
# Energy of formation = 0.54 eV per atom
# Volume = 165.99 Å³/cell
data_TaZnIn2
_symmetry_space_group_name_H-M 'P 1'
_symmetry_Int_Tables_number 1
_cell_length_a 7.584
_cell_length_b 7.584
_cell_length_c 6.090
_cell_angle_alpha 51.49
_cell_angle_beta 51.49
_cell_angle_gamma 90.00
loop_
_symmetry_equiv_pos_as_xyz
'x,y,z'
loop_
_atom_site_label
_atom_site_type_symbol
_atom_site_fract_x
_atom_site_fract_y
_atom_site_fract_z
Ta1 Ta 0.750 0.250 0.500
Ta2 Ta 0.000 0.000 0.000
In1 In 0.152 0.625 0.250
In2 In 0.375 0.402 0.750
In3 In 0.598 0.125 0.250
In4 In 0.875 0.848 0.750
Zn1 Zn 0.250 0.750 0.500
Zn2 Zn 0.500 0.500 0.000

=====

# MnZnGaSe2 | Alexandria via LeMat-Bulk | GGA-PBE | optimized geometry
# Volume = 121.70 Å³/cell
# ΔE_f (raw) = 2.2 eV/f.u.
data_MnZnGaSe2
_symmetry_space_group_name_H-M 'P 1'
_symmetry_Int_Tables_number 1
_cell_length_a 5.145
_cell_length_b 4.597
_cell_length_c 5.145
_cell_angle_alpha 90.00
_cell_angle_beta 90.00
_cell_angle_gamma 90.00
loop_
_symmetry_equiv_pos_as_xyz
'x,y,z'
loop_
_atom_site_label
_atom_site_type_symbol
_atom_site_fract_x
_atom_site_fract_y
_atom_site_fract_z
Se1 Se 0.500 0.000 0.000
Se2 Se 0.000 0.000 0.500
Mn1 Mn 0.500 0.500 0.500
Zn1 Zn 0.000 0.500 0.000
Ga1 Ga 0.000 0.000 0.000

=====

Number 1: DOS(E_F) 2.00 states/eV/f.u., calculated total energy -6.580 eV/atom. Number 2: DOS(E_F) 3.36 states/eV/f.u., calculated total energy -4.107 eV/atom. Number 3: DOS(E_F) 2.12 states/eV/f.u., calculated total energy -3.652 eV/atom.